Record 1
AlSbI2N | PBE-GGA | relaxed

a = 4.9491 Å, b = 4.9491 Å, c = 4.9655 Å
α = 90.00°, β = 90.00°, γ = 90.00°
Element x y z (fractional)
I1 0.0000 0.5000 0.0000
I2 0.5000 0.0000 0.0000
Sb1 0.0000 0.0000 0.5000
Al1 0.5000 0.5000 0.5000
N1 0.0000 0.0000 0.0000

As for the total magnetization: 0.000 μB/f.u. The value obtained for the uncorrected formation energy is 885 meV per atom. As for the energy above the most stable polymorph in this dataset: 0.6088 eV per atom.



Record 2
HfMnS3 | PBE-GGA | relaxed

a = 4.4350 Å, b = 4.4350 Å, c = 4.4350 Å
α = 90.00°, β = 90.00°, γ = 90.00°
Each line ends with the local moment (μB).
Element x y z (fractional)
S1 0.0000 0.5000 0.0000  0.01
S2 0.0000 0.0000 0.5000  0.01
S3 0.5000 0.0000 0.0000  0.04
Mn1 0.0000 0.0000 0.0000  2.69
Hf1 0.5000 0.5000 0.5000  -0.02

As for the total magnetization: 2.898 μB/f.u. The value obtained for the uncorrected formation energy is -152 meV per atom. As for the energy above the most stable polymorph in this dataset: 0.9455 eV per atom.



Which of these has the highest energy above the most stable polymorph in this dataset? HfMnS3



Among the records above, which one has the highest energy above the most stable polymorph in this dataset? HfMnS3